(1)
A plane-wave DFT calculation with PBE-GGA was carried out for a geometry-optimized Th4Si2Te5 structure.

```
11
Lattice="-2.1790 3.3346 -1.8708 0.7155 -3.6797 -7.3923 -7.7755 -4.5341 6.1510" Properties=species:S:1:pos:R:3 pbc="T T T"
Th 0.1985 -1.0211 -2.0513
Th -4.1977 -2.0901 -4.0125
Th 0.5169 -2.6586 -5.3409
Th -5.0413 -2.7891 0.9004
Si -7.5361 -4.1693 1.3460
Si -1.7029 -0.7099 -4.4581
Te -6.9667 -0.5015 2.0443
Te -6.5866 -2.4567 -1.8836
Te -2.6524 -2.4225 -1.2285
Te -2.2723 -4.3777 -5.1564
Te -1.0895 1.6673 -0.9354
```

E_form (uncorrected): -0.960 eV per atom
space-group type: Immm, No. 71

---

(2)
A plane-wave DFT calculation with PBE-GGA was carried out for a geometry-optimized YTcSe2 structure.

```
4
Lattice="4.0211 0.0000 0.0000 0.0000 3.6502 -0.0056 0.0000 0.4384 5.6512" Properties=species:S:1:pos:R:3 pbc="T T T"
Se 0.0000 0.3637 0.0930
Se 0.0000 1.6805 2.7298
Tc 2.0106 1.0221 1.4114
Y 2.0106 3.0664 4.2342
```

E above lowest polymorph: 281 meV/atom
E_form (uncorrected): -0.529 eV per atom
space-group type: P2/m, No. 10

---

(3)
A plane-wave DFT calculation with PBE-GGA was carried out for a geometry-optimized InSi2P structure.

```
4
Lattice="-2.4186 3.2147 -2.0511 -2.6195 0.3644 3.6601 2.1804 2.4786 1.3137" Properties=species:S:1:pos:R:3 pbc="T T T"
In -0.1191 2.8467 -0.3687
P -0.2196 1.4215 2.4869
Si 0.0000 0.0000 0.0000
Si -2.5191 1.7896 0.8045
```

E above lowest polymorph: 504 meV/atom
E_form (uncorrected): 0.626 eV per atom
space-group type: P4/mmm, No. 123

---

(4)
A plane-wave DFT calculation with PBE-GGA was carried out for a geometry-optimized NdLuGaHg structure.

```
4
Lattice="5.2208 0.0000 0.0000 2.6104 4.5213 0.0000 2.6104 1.5071 4.2627" Properties=species:S:1:pos:R:3 pbc="T T T"
Lu 0.0000 0.0000 0.0000
Nd 5.2208 3.0142 2.1314
Hg 7.8312 4.5213 3.1971
Ga 2.6104 1.5071 1.0657
```

DFT formation energy: -0.480 eV per atom
space-group type: F-43m, No. 216

---

(5)
A plane-wave DFT calculation with PBE-GGA was carried out for a geometry-optimized KLa2Ni structure.

```
4
Lattice="-0.9083 -5.0017 -4.4352 -2.0679 -6.3419 -1.0082 -6.5800 -1.1932 -2.6932" Properties=species:S:1:pos:R:3 pbc="T T T"
K -2.2333 -2.4611 -1.7182
La -5.9472 -1.3018 -2.5216
La -6.5662 -10.3228 -6.2590
Ni -6.1677 -5.9126 -4.3994
```

DFT formation energy: 0.199 eV per atom
E above lowest polymorph: 257 meV/atom
space-group type: Cm, No. 8

---

(6)
A plane-wave DFT calculation with PBE-GGA was carried out for a geometry-optimized La2MnHg structure.

```
4
Lattice="-1.2994 -3.3895 -0.0869 2.0072 -0.6940 -2.9453 6.2569 -2.5232 4.8587" Properties=species:S:1:pos:R:3 pbc="T T T"
Hg 4.7505 -3.8148 1.8980
La 6.0155 -2.4259 4.6712
La 2.2257 -2.7966 -0.0626
Mn 3.3585 -1.3544 2.6079
```

DFT formation energy: 0.053 eV per atom
space-group type: P4mm, No. 99

---

(7)
A plane-wave DFT calculation with PBE-GGA was carried out for a geometry-optimized NbGaTeI2 structure.

```
5
Lattice="5.4599 0.0000 0.0000 0.0000 5.4599 0.0000 0.0000 0.0000 5.5100" Properties=species:S:1:pos:R:3 pbc="T T T"
I 0.0000 2.7299 0.0000
I 2.7299 0.0000 0.0000
Nb 2.7299 2.7299 2.7550
Te 0.0000 0.0000 2.7550
Ga 0.0000 0.0000 0.0000
```

E above lowest polymorph: 706 meV/atom
E_form (uncorrected): 0.756 eV per atom
space-group type: P4/mmm, No. 123

---

(8)
A plane-wave DFT calculation with PBE-GGA was carried out for a geometry-optimized AsRu structure.

```
12
Lattice="-1.4399 0.7825 -3.4486 6.3638 -4.9878 -3.7888 -3.4551 -4.6950 0.3774" Properties=species:S:1:pos:R:3 pbc="T T T"
As 2.0181 -7.2431 -4.5997
As -2.2172 -3.9236 -2.0782
As 0.5637 -2.4017 -2.8940
As 2.6923 -4.0700 -4.1613
As -0.5582 -0.7585 0.0610
As 0.8962 -5.5999 -1.6448
Ru -1.7104 -5.8211 -0.6066
Ru 1.3892 -8.2505 -2.4520
Ru 3.1991 -5.9676 -2.6897
Ru -0.0651 -3.4091 -0.7463
Ru -2.1812 -1.5944 -1.5647
Ru -0.7269 -6.4358 -3.2704
```

DFT formation energy: -0.100 eV per atom
space-group type: Amm2, No. 38

---

Here are the calculated E_tot numbers, same order: -6.07 -6.48 -4.12 -3.63 -3.98 -4.78 -3.11 -7.06 (eV/atom).